Entry 1:
Compound: Zr3TlC
Source: Alexandria
Functional: PBE
Structure: relaxed

Lattice parameters (Å, degrees): 17.5677 3.3381 7.7626 90.00 111.61 90.00
Closest atoms and distances in Å follow each position.
Space group C2/m (No. 12)
Asymmetric unit:
Zr: 0.0787 0.0000 0.1407 (multiplicity 4)  1 C 2.30
Zr: 0.0847 0.5000 0.7954 (multiplicity 4)  2 C 2.29
Zr: 0.2415 0.5000 0.1631 (multiplicity 4)  3 C 2.29-2.31
Tl: 0.1492 0.5000 0.4839 (multiplicity 4)  5 Zr 3.00-3.18, 2 Tl 3.34
C: 0.1637 0.0000 0.9748 (multiplicity 4)  6 Zr 2.29-2.31

---

Entry 2:
Compound: Zr3TlC
Source: Alexandria
Functional: PBE
Structure: relaxed

Lattice parameters (Å, degrees): 4.9328 12.6504 6.9751 90.00 90.00 90.00
Closest atoms and distances in Å follow each position.
Space group Imma (No. 74)
Asymmetric unit:
Zr: 0.0000 0.1220 0.1118 (multiplicity 8)  1 C 2.17
Zr: 0.0000 0.2500 0.5969 (multiplicity 4)  1 C 2.15
Tl: 0.0000 0.0000 0.5000 (multiplicity 4)  8 Zr 3.01-3.23
C: 0.0000 0.2500 0.9055 (multiplicity 4)  3 Zr 2.15-2.17

---

Entry 3:
Compound: Zr7Tl2C2
Source: Alexandria
Functional: PBE
Structure: relaxed

Lattice parameters (Å, degrees): 10.5859 6.9849 6.2401 90.00 96.64 90.00
Closest atoms and distances in Å follow each position.
Space group C2/m (No. 12)
Asymmetric unit:
Zr: 0.0000 0.0000 0.0000 (multiplicity 2)  2 C 2.37
Zr: 0.0645 0.5000 0.8189 (multiplicity 4)  1 C 2.33
Zr: 0.2212 0.2792 0.2268 (multiplicity 8)  2 C 2.31-2.33
Tl: 0.0000 0.1994 0.5000 (multiplicity 4)  1 Tl 2.78, 4 Zr 2.92-3.10
C: 0.2253 0.0000 0.0221 (multiplicity 4)  6 Zr 2.31-2.37

---

Entry 4:
Compound: Zr3TlC
Source: Alexandria
Functional: PBE
Structure: relaxed

Lattice parameters (Å, degrees): 3.3781 4.5231 6.4698 90.00 90.27 90.00
Closest atoms and distances in Å follow each position.
Space group P2/m (No. 10)
Asymmetric unit:
Zr: 0.0000 0.0000 0.0000 (multiplicity 1)  2 C 2.26
Zr: 0.4978 0.5000 0.7599 (multiplicity 2)  2 C 2.29
Tl: 0.0000 0.0000 0.5000 (multiplicity 1)  10 Zr 3.23-3.29, 2 Tl 3.38
C: 0.0000 0.5000 0.0000 (multiplicity 1)  6 Zr 2.26-2.29

---

Entry 5:
Compound: Zr3TlC
Source: Alexandria
Functional: PBE
Structure: relaxed

Lattice parameters (Å, degrees): 4.8600 4.8600 9.2063 90.00 90.00 120.00
Closest atoms and distances in Å follow each position.
Space group P6_3/mmc (No. 194)
Asymmetric unit:
Zr: 0.0000 0.0000 0.2500 (multiplicity 2)  2 C 2.30
Zr: 0.3333 0.6667 0.0735 (multiplicity 4)  3 C 2.89, 1 Tl 2.98, 3 Zr 3.12
Tl: 0.3333 0.6667 0.7500 (multiplicity 2)  5 Zr 2.81-2.98
C: 0.0000 0.0000 0.0000 (multiplicity 2)  2 Zr 2.30

---

Entry 6:
Compound: Zr3TlC
Source: Alexandria
Functional: PBE
Structure: relaxed

Lattice parameters (Å, degrees): 10.9012 4.7404 8.3786 90.00 114.42 90.00
Closest atoms and distances in Å follow each position.
Space group C2/m (No. 12)
Asymmetric unit:
Zr: 0.1089 0.0000 0.1920 (multiplicity 4)  2 C 2.27
Zr: 0.1402 0.0000 0.6732 (multiplicity 4)  1 C 2.23
Zr: 0.1443 0.5000 0.9387 (multiplicity 4)  3 C 2.34-2.38
Tl: 0.1087 0.5000 0.4285 (multiplicity 4)  7 Zr 3.06-3.39, 1 Tl 3.07
C: 0.1202 0.0000 0.9278 (multiplicity 4)  6 Zr 2.23-2.38

---

Entry 7:
Compound: Zr3TlC
Source: Alexandria
Functional: PBE
Structure: relaxed

Lattice parameters (Å, degrees): 6.4240 6.4240 14.1976 90.00 90.00 120.00
Closest atoms and distances in Å follow each position.
Space group R3m (No. 160, hexagonal axes)
Asymmetric unit:
Zr: 0.0126 0.5063 0.0000 (multiplicity 9)  1 C 2.08
Tl: 0.0000 0.0000 0.5055 (multiplicity 3)  6 Zr 2.99-3.03
C: 0.0000 0.0000 0.2582 (multiplicity 3)  3 Zr 2.08

---

Entry 8:
Compound: Zr3TlC
Source: Alexandria
Functional: PBE
Structure: relaxed

Lattice parameters (Å, degrees): 5.3435 16.2442 5.5947 90.00 90.00 90.00
Closest atoms and distances in Å follow each position.
Space group Cmcm (No. 63)
Asymmetric unit:
Zr: 0.0000 0.0000 0.0000 (multiplicity 4)  2 Zr 2.80, 2 Tl 3.02
Zr: 0.2474 0.1635 0.2500 (multiplicity 8)  1 C 2.12
Tl: 0.0000 0.1650 0.7500 (multiplicity 4)  8 Zr 3.02-3.10
C: 0.0000 0.4369 0.7500 (multiplicity 4)  2 Zr 2.12

---

Entry 9:
Compound: Zr3TlC
Source: Alexandria
Functional: PBE
Structure: relaxed

Lattice parameters (Å, degrees): 8.5235 5.9374 8.6168 90.00 112.32 90.00
Closest atoms and distances in Å follow each position.
Space group P2_1/c (No. 14)
Asymmetric unit:
Zr: 0.0488 0.0838 0.3501 (multiplicity 4)  3 C 2.33-2.42
Zr: 0.1805 0.5727 0.5369 (multiplicity 4)  2 C 2.27-2.28
Zr: 0.3382 0.1309 0.7544 (multiplicity 4)  1 C 2.26
Tl: 0.3854 0.6667 0.8937 (multiplicity 4)  1 Tl 2.89, 5 Zr 2.93-3.12
C: 0.0724 0.2471 0.1022 (multiplicity 4)  6 Zr 2.26-2.42

---

Entry 10:
Compound: Zr3TlC
Source: Alexandria
Functional: PBE
Structure: relaxed

Lattice parameters (Å, degrees): 3.1527 6.4199 15.0398 90.00 90.00 90.00
Closest atoms and distances in Å follow each position.
Space group Amm2 (No. 38)
Asymmetric unit:
Zr: 0.0000 0.0000 0.0000 (multiplicity 2)  1 C 2.35
Zr: 0.5000 0.2381 0.8532 (multiplicity 4)  2 C 2.20
Tl: 0.5000 0.0000 0.1806 (multiplicity 2)  4 Zr 3.09-3.14, 2 Tl 3.15
C: 0.0000 0.0000 0.8439 (multiplicity 2)  5 Zr 2.20-2.35

---

Entry 11:
Compound: Tm8C5
Source: Alexandria
Functional: PBE
Structure: relaxed

Lattice parameters (Å, degrees): 11.8995 7.0229 8.4679 90.00 133.76 90.00
Closest atoms and distances in Å follow each position.
Space group C2/m (No. 12)
Asymmetric unit:
Tm: 0.0195 0.0000 0.3187 (multiplicity 4)  4 C 2.48-2.54
Tm: 0.0287 0.5000 0.3358 (multiplicity 4)  3 C 2.33-2.37
Tm: 0.2188 0.2373 0.1657 (multiplicity 8)  4 C 2.39-2.54
C: 0.0000 0.0000 0.0000 (multiplicity 2)  6 Tm 2.54
C: 0.0000 0.2562 0.5000 (multiplicity 4)  6 Tm 2.37-2.48
C: 0.2301 0.5000 0.9972 (multiplicity 4)  6 Tm 2.33-2.51

---

Entry 12:
Compound: Tm3C2
Source: Alexandria
Functional: PBE
Structure: relaxed

Lattice parameters (Å, degrees): 3.5664 3.5664 9.0402 90.00 90.00 120.00
Closest atoms and distances in Å follow each position.
Space group P-3m1 (No. 164)
Asymmetric unit:
Tm: 0.0000 0.0000 0.0000 (multiplicity 1)  6 C 2.58
Tm: 0.3333 0.6667 0.2963 (multiplicity 2)  3 C 2.34
C: 0.3333 0.6667 0.8275 (multiplicity 2)  6 Tm 2.34-2.58

Computed properties:
- energy relative to the lowest polymorph listed for this composition (meV per atom) = 0

---

| no. | total DFT energy (no corrections) (eV/atom) |
| --- | --- |
| 1 | -7.77 |
| 2 | -7.50 |
| 3 | -7.68 |
| 4 | -7.88 |
| 5 | -7.31 |
| 6 | -7.86 |
| 7 | -6.30 |
| 8 | -6.69 |
| 9 | -7.76 |
| 10 | -7.06 |
| 11 | -6.61 |
| 12 | -6.72 |